The following is a PBE-GGA calculation of an optimized crystal structure of SrHg4Pd, from the Alexandria database.

Geometry as POSCAR:
```
SrHg4Pd
1.0
5.929 0.000 0.000
2.964 5.134 0.000
2.964 1.711 4.841
Hg Pd Sr
4 1 1
direct
0.127 0.624 0.624 Hg
0.624 0.127 0.624 Hg
0.624 0.624 0.127 Hg
0.624 0.624 0.624 Hg
0.250 0.250 0.250 Pd
0.000 0.000 0.000 Sr
```

Output
**Calculated density**: 11.23 g/cm³
**Total magnetic moment**: 0.00 Bohr magnetons per cell
**Space-group type**: F-43m, No. 216
**Distance to the lowest polymorph of the same formula**: 1.11 eV/f.u.
**Volume**: 24.6 A^3/atom